Entry from Alexandria: a relaxed structure of La2Ru (PBE).

Values from the calculation:
- Uncorrected energy: -6.6280 eV per atom
- M_tot: 0.00 μB per cell
- Energy of formation from the pure elements: -0.251 eV/atom
- Space group: No. 12

abc: 12.346 3.962 6.908
angles: 90.00 90.06 90.00
Element x y z (fractional)
La: 0.000 0.000 0.000
La: 0.000 0.000 0.500
La: 0.225 0.500 0.249
La: 0.275 0.000 0.751
La: 0.500 0.500 0.000
La: 0.500 0.500 0.500
La: 0.725 0.000 0.249
La: 0.775 0.500 0.751
Ru: 0.117 0.500 0.750
Ru: 0.383 0.000 0.250
Ru: 0.617 0.000 0.750
Ru: 0.883 0.500 0.250